## Ba5Ge2N6 (meta-GGA SCAN)

Data for a PBEsol-optimized structure of Ba5Ge2N6.

```
data_Ba5Ge2N6
_cell_length_a 10.637
_cell_length_b 7.027
_cell_length_c 14.209
_cell_angle_alpha 90.00
_cell_angle_beta 99.75
_cell_angle_gamma 90.00
_symmetry_space_group_name_H-M 'C 1 2/c 1'
_symmetry_Int_Tables_number 15
loop_
_symmetry_equiv_pos_as_xyz
'x,y,z'
'-x,-y,-z'
'-x,y,-z+1/2'
'x,-y,z+1/2'
'x+1/2,y+1/2,z'
'-x+1/2,-y+1/2,-z'
'-x+1/2,y+1/2,-z+1/2'
'x+1/2,-y+1/2,z+1/2'
loop_
_atom_site_label
_atom_site_type_symbol
_atom_site_fract_x
_atom_site_fract_y
_atom_site_fract_z
Ba1 Ba 0.000 0.115 0.250
Ba2 Ba 0.053 0.229 0.993
Ba3 Ba 0.157 0.426 0.712
Ge1 Ge 0.225 0.368 0.425
N1 N 0.062 0.455 0.376
N2 N 0.149 0.062 0.647
N3 N 0.211 0.089 0.442
```

Summary:
total magnetization	0.000	μB per formula unit
uncorrected formation energy	-0.683	eV/atom

***

## BaGeN2 (meta-GGA SCAN)

Data for a PBEsol-optimized structure of BaGeN2.

```
data_BaGeN2
_cell_length_a 5.506
_cell_length_b 11.053
_cell_length_c 16.515
_cell_angle_alpha 90.00
_cell_angle_beta 90.00
_cell_angle_gamma 90.00
_symmetry_space_group_name_H-M 'P b c a'
_symmetry_Int_Tables_number 61
loop_
_symmetry_equiv_pos_as_xyz
'x,y,z'
'-x,-y,-z'
'-x+1/2,-y,z+1/2'
'x+1/2,y,-z+1/2'
'x+1/2,-y+1/2,-z'
'-x+1/2,y+1/2,z'
'-x,y+1/2,-z+1/2'
'x,-y+1/2,z+1/2'
loop_
_atom_site_label
_atom_site_type_symbol
_atom_site_fract_x
_atom_site_fract_y
_atom_site_fract_z
Ba1 Ba 0.162 0.232 0.186
Ba2 Ba 0.243 0.022 0.566
Ge1 Ge 0.192 0.237 0.437
Ge2 Ge 0.243 0.009 0.812
N1 N 0.064 0.526 0.219
N2 N 0.123 0.707 0.025
N3 N 0.170 0.169 0.843
N4 N 0.177 0.587 0.404
```

Summary:
total magnetization	0.000	μB per formula unit
uncorrected formation energy	-0.600	eV/atom

***

## BaGeN2 (meta-GGA SCAN)

Data for a PBEsol-optimized structure of BaGeN2.

```
data_BaGeN2
_cell_length_a 4.2498
_cell_length_b 4.2498
_cell_length_c 18.2104
_cell_angle_alpha 90.00
_cell_angle_beta 90.00
_cell_angle_gamma 120.00
_symmetry_space_group_name_H-M 'R -3 m'
_symmetry_Int_Tables_number 166
_symmetry_space_group_name_Hall '-R 3 2"'
loop_
_atom_site_label
_atom_site_type_symbol
_atom_site_fract_x
_atom_site_fract_y
_atom_site_fract_z
Ba1 Ba 0.0000 0.0000 0.0000
Ge1 Ge 0.0000 0.0000 0.5000
N1 N 0.0000 0.0000 0.4073
```

Summary:
total magnetization	0.000	μB per formula unit
uncorrected formation energy	-0.216	eV/atom

***

## Ba7GeN6 (meta-GGA SCAN)

Data for a PBEsol-optimized structure of Ba7GeN6.

```
data_Ba7GeN6
_cell_length_a 12.354
_cell_length_b 6.906
_cell_length_c 14.380
_cell_angle_alpha 90.00
_cell_angle_beta 90.00
_cell_angle_gamma 90.00
_symmetry_space_group_name_H-M 'P b c n'
_symmetry_Int_Tables_number 60
loop_
_symmetry_equiv_pos_as_xyz
'x,y,z'
'-x,-y,-z'
'-x+1/2,-y+1/2,z+1/2'
'x+1/2,y+1/2,-z+1/2'
'x+1/2,-y+1/2,-z'
'-x+1/2,y+1/2,z'
'-x,y,-z+1/2'
'x,-y,z+1/2'
loop_
_atom_site_label
_atom_site_type_symbol
_atom_site_fract_x
_atom_site_fract_y
_atom_site_fract_z
Ba1 Ba 0.000 0.074 0.250
Ba2 Ba 0.037 0.242 0.519
Ba3 Ba 0.210 0.400 0.128
Ba4 Ba 0.223 0.353 0.873
Ge1 Ge 0.000 0.414 0.750
N1 N 0.042 0.426 0.354
N2 N 0.119 0.251 0.711
N3 N 0.165 0.107 0.001
```

Summary:
total magnetization	0.000	μB per formula unit
uncorrected formation energy	-0.603	eV/atom

***

## BaGeTe2N (meta-GGA SCAN)

Data for a PBEsol-optimized structure of BaGeTe2N.

```
data_BaGeTe2N
_cell_length_a 5.958
_cell_length_b 5.958
_cell_length_c 3.629
_cell_angle_alpha 90.00
_cell_angle_beta 90.00
_cell_angle_gamma 90.00
_symmetry_space_group_name_H-M 'P 4/m m m'
_symmetry_Int_Tables_number 123
_symmetry_space_group_name_Hall '-P 4 2'
loop_
_atom_site_label
_atom_site_type_symbol
_atom_site_fract_x
_atom_site_fract_y
_atom_site_fract_z
Ba1 Ba 0.000 0.000 0.000
Ge1 Ge 0.500 0.500 0.500
Te1 Te 0.000 0.500 0.500
N1 N 0.500 0.500 0.000
```

Summary:
total magnetization	0.001	μB per formula unit
uncorrected formation energy	-0.151	eV/atom

***

## BaNa2Ge2 (meta-GGA SCAN)

Data for a PBEsol-optimized structure of BaNa2Ge2.

```
data_BaNa2Ge2
_cell_length_a 4.713
_cell_length_b 4.713
_cell_length_c 12.727
_cell_angle_alpha 90.00
_cell_angle_beta 90.00
_cell_angle_gamma 90.00
_symmetry_space_group_name_H-M 'I 4/m m m'
_symmetry_Int_Tables_number 139
_symmetry_space_group_name_Hall '-I 4 2'
loop_
_atom_site_label
_atom_site_type_symbol
_atom_site_fract_x
_atom_site_fract_y
_atom_site_fract_z
Ba1 Ba 0.000 0.000 0.000
Na1 Na 0.000 0.500 0.250
Ge1 Ge 0.000 0.000 0.407
```

Summary:
total magnetization	0.000	μB per formula unit
energy of formation from the pure elements	-1.680	eV per formula unit